[1]
Crystalline Ce2GaCu2Ni5 at its relaxed geometry. Source: Alexandria via LeMat-Bulk, functional PBE-GGA.

Cell: 3.5760 9.1507 9.1507 Å, 90.00 90.00 90.00°
Element x y z (fractional)
Ce1 0.0000 0.8204 0.6796
Ce2 0.0000 0.6796 0.1796
Ce3 0.0000 0.1796 0.3204
Ce4 0.0000 0.3204 0.8204
Ni1 0.5000 0.7022 0.4446
Ni2 0.5000 0.9446 0.2022
Ni3 0.5000 0.2978 0.5554
Ni4 0.5000 0.7978 0.9446
Ni5 0.5000 0.4446 0.2978
Ni6 0.5000 0.5000 0.0000
Ni7 0.5000 0.5554 0.7022
Ni8 0.5000 0.0000 0.5000
Ni9 0.5000 0.2022 0.0554
Ni10 0.5000 0.0554 0.7978
Cu1 0.0000 0.8807 0.3807
Cu2 0.0000 0.1193 0.6193
Cu3 0.0000 0.6193 0.8807
Cu4 0.0000 0.3807 0.1193
Ga1 0.0000 0.5000 0.5000
Ga2 0.0000 0.0000 0.0000

E_tot = -5.43 eV/atom
density = 8546 kg/m³
formation energy = -0.234 eV per atom


[2]
Crystalline AlTcNi2 at its relaxed geometry. Source: Alexandria via LeMat-Bulk, functional PBE-GGA.

Cell: 4.5104 4.5104 2.6194 Å, 90.00 90.00 109.73°
Element x y z (fractional)
Ni1 0.0000 0.0000 0.0000
Ni2 0.5000 0.5000 0.0000
Al1 0.0000 0.5000 0.5000
Tc1 0.5000 0.0000 0.5000

E_tot = -6.62 eV/atom
density = 8023 kg/m³
formation energy = -0.206 eV per atom


[3]
Crystalline AcPmTm2 at its relaxed geometry. Source: Alexandria via LeMat-Bulk, functional PBE-GGA.

Cell: 4.1786 4.1786 7.9566 Å, 90.00 90.00 90.00°
Element x y z (fractional)
Pm1 0.5000 0.5000 0.0000
Tm1 0.0000 0.0000 0.2327
Tm2 0.0000 0.0000 0.7673
Ac1 0.5000 0.5000 0.5000

E_tot = -4.36 eV/atom
density = 8485 kg/m³
formation energy = 0.088 eV per atom
E above lowest polymorph = 35 meV per atom


[4]
Crystalline Zr2ZnW at its relaxed geometry. Source: Alexandria via LeMat-Bulk, functional PBE-GGA.

Cell: 2.8563 2.8563 9.2037 Å, 90.00 90.00 90.00°
Element x y z (fractional)
Zr1 0.5000 0.5000 0.2675
Zr2 0.0000 0.0000 0.9705
Zn1 0.5000 0.5000 0.7355
W1 0.0000 0.0000 0.5264

E_tot = -7.66 eV/atom
density = 9546 kg/m³
formation energy = 0.170 eV per atom


[5]
Crystalline NiHg7 at its relaxed geometry. Source: Alexandria via LeMat-Bulk, functional PBE-GGA.

Cell: 6.3631 6.3631 6.3631 Å, 60.00 60.00 60.00°
Element x y z (fractional)
Hg1 0.0000 0.5000 0.0000
Hg2 0.5000 0.0000 0.0000
Hg3 0.5000 0.0000 0.5000
Hg4 0.0000 0.5000 0.5000
Hg5 0.5000 0.5000 0.0000
Hg6 0.0000 0.0000 0.5000
Hg7 0.5000 0.5000 0.5000
Ni1 0.0000 0.0000 0.0000

E_tot = -0.72 eV/atom
density = 13333 kg/m³
formation energy = 0.266 eV per atom


[6]
Crystalline AgS2BrCl at its relaxed geometry. Source: Alexandria via LeMat-Bulk, functional PBE-GGA.

Cell: 4.8538 4.8538 5.2988 Å, 90.00 90.00 90.00°
Element x y z (fractional)
Cl1 0.0000 0.0000 0.5000
S1 0.5000 0.0000 0.0000
S2 0.0000 0.5000 0.0000
Ag1 0.5000 0.5000 0.5000
Br1 0.0000 0.0000 0.0000

E_tot = -2.12 eV/atom
density = 3822 kg/m³
E above lowest polymorph = 100 meV per atom
formation energy from raw total energies = 805 meV per atom